Co3AgS PBE-GGA optimized geometry; raw total energy = -3.906 eV per atom; magnetization = 6.043 μB per cell; volume = 20.37 Å³/atom; offset from the most stable computed form = 1510 meV per atom
1.0
4.670 0.000 0.000
0.000 4.670 0.000
0.000 0.000 4.670
Co Ag S
3 1 1
Cartesian
0.000 0.000 2.335
0.000 2.335 0.000
2.335 0.000 0.000
0.000 0.000 0.000
2.335 2.335 2.335

CoAgS2 PBE-GGA optimized geometry; raw total energy = -4.690 eV per atom; magnetization = 0.001 μB per cell; volume = 18.42 Å³/atom
1.0
7.429 0.000 0.000
0.000 3.305 0.000
0.000 0.000 12.007
Co Ag S
4 4 8
Cartesian
0.373 0.826 1.273
3.342 2.478 7.276
4.087 0.826 4.731
7.057 2.478 10.734
0.261 2.478 4.731
3.454 0.826 10.735
3.976 2.478 1.272
7.168 0.826 7.276
1.043 0.826 11.175
1.635 2.478 1.957
2.080 0.826 7.960
2.672 2.478 5.171
4.757 0.826 6.836
5.350 2.478 4.047
5.795 0.826 10.050
6.387 2.478 0.832

CoAgS2 PBE-GGA optimized geometry; raw total energy = -4.655 eV per atom; magnetization = 0.501 μB per cell; volume = 18.96 Å³/atom
1.0
4.070 -4.619 0.000
4.070 4.619 0.000
-3.042 0.000 4.033
Co Ag S
2 2 4
Cartesian
1.788 4.600 3.025
3.310 -4.600 1.008
1.788 0.851 3.025
3.310 -0.851 1.008
-0.618 1.305 2.716
0.903 -1.305 0.700
4.195 1.305 3.333
5.716 -1.305 1.317

CoAgS2 PBE-GGA optimized geometry; raw total energy = -4.377 eV per atom; magnetization = 2.198 μB per cell; volume = 16.41 Å³/atom
1.0
3.580 0.000 0.000
0.000 3.580 0.000
0.000 0.000 5.120
Co Ag S
1 1 2
Cartesian
0.000 0.000 0.000
1.790 1.790 2.560
0.000 0.000 2.560
1.790 1.790 0.000

CoAgS2 PBE-GGA optimized geometry; raw total energy = -4.624 eV per atom; magnetization = 1.712 μB per cell; volume = 17.23 Å³/atom
1.0
5.069 0.000 0.000
0.000 4.847 0.000
-4.998 0.000 11.224
Co Ag S
4 4 8
Cartesian
-1.269 0.031 5.309
-3.768 2.393 10.921
3.839 2.454 0.303
1.340 4.816 5.915
-2.862 0.723 8.682
-0.363 1.701 3.070
0.434 3.146 8.154
2.933 4.124 2.542
-2.319 3.268 6.270
0.180 4.002 0.658
-2.203 3.139 9.636
0.296 4.132 4.024
-0.225 0.715 7.200
2.274 1.708 1.588
-0.109 0.845 10.565
2.390 1.579 4.954

CoAgS2 PBE-GGA optimized geometry; raw total energy = -4.507 eV per atom; magnetization = 1.783 μB per cell; volume = 17.38 Å³/atom
1.0
1.578 -10.461 0.000
1.578 10.461 0.000
0.000 0.000 4.213
Co Ag S
2 2 4
Cartesian
1.578 9.120 3.160
1.578 -9.120 1.053
1.578 3.910 3.160
1.578 -3.910 1.053
1.578 9.612 1.053
1.578 6.914 3.160
1.578 -6.914 1.053
1.578 -9.612 3.160

CoAgS2 PBE-GGA optimized geometry; raw total energy = -4.572 eV per atom; magnetization = 0.000 μB per cell; volume = 16.27 Å³/atom
1.0
6.024 0.000 0.000
0.000 3.588 0.000
0.000 0.000 12.040
Co Ag S
4 4 8
Cartesian
0.333 0.897 1.381
2.679 2.691 7.401
3.345 0.897 4.639
5.691 2.691 10.659
1.086 2.691 4.204
1.926 0.897 10.224
4.098 2.691 1.816
4.938 0.897 7.837
0.644 2.691 8.572
1.126 2.691 0.291
1.886 0.897 6.311
2.368 0.897 2.551
3.656 2.691 9.489
4.138 2.691 5.730
4.898 0.897 11.750
5.381 0.897 3.469

CoAgS2 PBE-GGA optimized geometry; raw total energy = -4.492 eV per atom; magnetization = 0.000 μB per cell; volume = 16.45 Å³/atom
1.0
1.496 -11.326 0.000
1.496 11.326 0.000
0.000 0.000 3.884
Co Ag S
2 2 4
Cartesian
1.496 7.077 2.913
1.496 -7.077 0.971
1.496 0.994 2.913
1.496 -0.994 0.971
1.496 4.833 2.913
1.496 2.612 0.971
1.496 -2.612 2.913
1.496 -4.833 0.971

Ta2CoAg2S6 PBE-GGA optimized geometry; raw total energy = -6.083 eV per atom; magnetization = 0.969 μB per cell; volume = 19.08 Å³/atom
1.0
2.904 -5.230 0.000
2.904 5.230 0.000
-2.081 0.000 6.907
Ta Co Ag S
2 1 2 6
Cartesian
2.904 3.774 0.000
2.904 -3.774 0.000
2.904 0.000 0.000
1.864 2.124 3.453
1.864 -2.124 3.453
-0.077 1.759 5.539
1.147 0.000 1.582
-0.077 -1.759 5.539
3.805 1.759 1.368
2.581 0.000 5.325
3.805 -1.759 1.368

TaCo2AgS PBE-GGA optimized geometry; raw total energy = -4.979 eV per atom; magnetization = 0.000 μB per cell; volume = 20.77 Å³/atom
1.0
4.446 0.000 0.000
0.000 4.446 0.000
0.000 0.000 5.253
Ta Co Ag S
1 2 1 1
Cartesian
0.000 0.000 0.000
0.000 2.223 0.000
2.223 0.000 0.000
0.000 0.000 2.626
2.223 2.223 2.626

Ti2CoAg2S6 PBE-GGA optimized geometry; raw total energy = -5.583 eV per atom; magnetization = 1.066 μB per cell; volume = 20.16 Å³/atom
1.0
2.916 -5.204 0.000
2.916 5.204 0.000
-1.061 0.000 7.307
Ti Co Ag S
2 1 2 6
Cartesian
2.916 3.677 0.000
2.916 -3.677 0.000
2.916 0.000 0.000
2.386 1.550 3.654
2.386 -1.550 3.654
0.026 0.000 5.837
2.051 1.678 1.292
2.721 1.678 6.015
2.051 -1.678 1.292
2.721 -1.678 6.015
4.745 0.000 1.470

Ti3CoAg3S8 PBE-GGA optimized geometry; raw total energy = -5.547 eV per atom; magnetization = 1.653 μB per cell; volume = 18.46 Å³/atom
1.0
5.925 -3.418 0.000
5.925 3.418 0.000
-3.985 0.000 6.837
Ti Co Ag S
3 1 3 8
Cartesian
0.000 0.000 0.000
2.963 1.709 0.000
2.963 -1.709 0.000
5.925 0.000 0.000
0.970 1.709 3.419
0.970 -1.709 3.419
3.933 0.000 3.419
1.975 0.000 1.417
4.993 1.614 1.396
0.076 0.000 5.443
2.873 1.614 5.441
4.993 -1.614 1.396
7.789 0.000 1.395
2.873 -1.614 5.441
5.890 0.000 5.420

UCo2Ag2S6 PBE-GGA optimized geometry; raw total energy = -5.659 eV per atom; magnetization = 1.170 μB per cell; volume = 18.11 Å³/atom
1.0
2.969 -5.148 0.000
2.969 5.148 0.000
-1.389 0.000 6.517
U Co Ag S
1 2 2 6
Cartesian
0.000 0.000 0.000
2.969 1.715 0.000
2.969 -1.715 0.000
2.274 3.713 3.258
2.274 -3.713 3.258
1.102 1.948 1.358
0.855 0.000 5.166
1.102 -1.948 1.358
3.447 1.948 5.159
3.694 0.000 1.351
3.447 -1.948 5.159

U2CoAg2S6 PBE-GGA optimized geometry; raw total energy = -6.195 eV per atom; magnetization = 4.880 μB per cell; volume = 20.90 Å³/atom
1.0
3.233 -5.703 0.000
3.233 5.703 0.000
-2.352 0.000 6.236
U Co Ag S
2 1 2 6
Cartesian
3.233 3.809 0.000
3.233 -3.809 0.000
3.233 0.000 0.000
2.056 2.116 3.118
2.056 -2.116 3.118
-0.115 1.769 4.802
1.267 0.000 1.405
-0.115 -1.769 4.802
4.228 1.769 1.434
2.845 0.000 4.831
4.228 -1.769 1.434

V2CoAg2S6 PBE-GGA optimized geometry; raw total energy = -5.585 eV per atom; magnetization = 0.994 μB per cell; volume = 18.80 Å³/atom
1.0
2.827 -5.040 0.000
2.827 5.040 0.000
-1.579 0.000 7.256
V Co Ag S
2 1 2 6
Cartesian
2.827 3.704 0.000
2.827 -3.704 0.000
2.827 0.000 0.000
2.038 1.572 3.628
2.038 -1.572 3.628
-0.546 0.000 5.727
1.962 1.709 1.238
2.114 1.709 6.018
1.962 -1.709 1.238
2.114 -1.709 6.018
4.621 0.000 1.530

Zr3CoAg3S8 PBE-GGA optimized geometry; raw total energy = -5.762 eV per atom; magnetization = 1.341 μB per cell; volume = 20.31 Å³/atom
1.0
6.255 -3.602 0.000
6.255 3.602 0.000
-4.192 0.000 6.761
Zr Co Ag S
3 1 3 8
Cartesian
0.000 0.000 0.000
3.128 1.801 0.000
3.128 -1.801 0.000
6.255 0.000 0.000
1.032 1.801 3.381
1.032 -1.801 3.381
4.159 0.000 3.381
2.082 0.000 1.510
5.291 1.665 1.442
0.123 0.000 5.313
3.028 1.665 5.319
5.291 -1.665 1.442
8.196 0.000 1.448
3.028 -1.665 5.319
6.236 0.000 5.251

CoAgSb2 PBE-GGA optimized geometry; raw total energy = -4.378 eV per atom; magnetization = 0.000 μB per cell; volume = 19.90 Å³/atom; offset from the most stable computed form = 68 meV per atom
1.0
2.217 -2.226 0.000
2.217 2.226 0.000
0.000 0.000 8.064
Co Ag Sb
1 1 2
Cartesian
0.000 0.000 0.000
0.000 0.000 4.032
2.217 0.000 1.612
2.217 0.000 6.452

CoAgSb2 PBE-GGA optimized geometry; raw total energy = -4.173 eV per atom; magnetization = 0.855 μB per cell; volume = 19.88 Å³/atom; offset from the most stable computed form = 273 meV per atom
1.0
4.796 0.000 0.000
0.000 4.796 0.000
0.000 0.000 3.458
Co Ag Sb
1 1 2
Cartesian
0.000 0.000 0.000
2.398 2.398 0.000
0.000 2.398 1.729
2.398 0.000 1.729

CoAgSb2 PBE-GGA optimized geometry; raw total energy = -4.351 eV per atom; magnetization = 0.638 μB per cell; volume = 20.53 Å³/atom; offset from the most stable computed form = 95 meV per atom
1.0
3.172 0.000 0.000
0.000 3.172 0.000
0.000 0.000 8.164
Co Ag Sb
1 1 2
Cartesian
0.000 0.000 0.000
1.586 1.586 6.436
0.000 0.000 4.371
1.586 1.586 1.336

CoAg2Sb2 PBE-GGA optimized geometry; raw total energy = -3.987 eV per atom; magnetization = 0.000 μB per cell; volume = 20.84 Å³/atom
1.0
6.537 0.000 0.000
0.000 6.537 0.000
0.000 0.000 4.876
Co Ag Sb
2 4 4
Cartesian
0.000 0.000 0.000
3.269 3.269 0.000
1.173 2.096 2.438
2.096 5.364 2.438
4.441 1.173 2.438
5.364 4.441 2.438
1.016 4.284 0.000
2.253 1.016 0.000
4.284 5.521 0.000
5.521 2.253 0.000

CoAgSb2 PBE-GGA optimized geometry; raw total energy = -4.230 eV per atom; magnetization = 0.083 μB per cell; volume = 21.23 Å³/atom; offset from the most stable computed form = 216 meV per atom
1.0
1.749 1.010 8.011
-1.749 1.010 8.011
0.000 -2.020 8.011
Co Ag Sb
1 1 2
Cartesian
0.000 0.000 0.000
0.000 0.000 6.226
0.000 0.000 12.144
0.000 0.000 17.400

CoAgSb2 PBE-GGA optimized geometry; raw total energy = -4.339 eV per atom; magnetization = 0.580 μB per cell; volume = 22.13 Å³/atom; offset from the most stable computed form = 107 meV per atom
1.0
4.846 -1.561 0.000
4.846 1.561 0.000
-2.162 0.000 5.848
Co Ag Sb
1 1 2
Cartesian
0.000 0.000 0.000
2.622 0.000 0.083
2.755 0.000 3.855
5.226 0.000 1.968

CoAgSb2 PBE-GGA optimized geometry; raw total energy = -4.446 eV per atom; magnetization = 0.000 μB per cell; volume = 20.35 Å³/atom; offset from the most stable computed form = 0 meV per atom
1.0
2.948 -1.733 0.000
2.948 1.733 0.000
-1.984 0.000 7.967
Co Ag Sb
1 1 2
Cartesian
0.000 0.000 0.000
1.956 0.000 3.983
-0.007 0.000 6.327
3.919 0.000 1.640

CoAg3Sb PBE-GGA optimized geometry; raw total energy = -3.139 eV per atom; magnetization = 1.859 μB per cell; volume = 22.29 Å³/atom; offset from the most stable computed form = 0 meV per atom
1.0
4.812 0.000 0.000
0.000 4.812 0.000
0.000 0.000 4.812
Co Ag Sb
1 3 1
Cartesian
0.000 0.000 0.000
0.000 0.000 2.406
0.000 2.406 0.000
2.406 0.000 0.000
2.406 2.406 2.406